Entry 1:
Material: Pr8Al2Pt
Method: DFT, PBE
State: relaxed

Summary:
SG: No. 12
final energy: -5.018 eV per atom
theoretical density: 6.79 g cm⁻³
crystal system: monoclinic
total moment: 0.0 μB per formula unit

a b c (Å): 5.175 6.957 9.972
angles (deg): 103.26 105.04 90.00
Sites, in units of the cell vectors:
Al1 0.815 0.260 0.630
Pr1 0.406 0.544 0.811
Pr2 0.210 0.301 0.421
Al2 0.185 0.740 0.370
Pr3 0.594 0.456 0.189
Pr4 0.020 0.780 0.040
Pr5 0.653 0.971 0.307
Pr6 0.980 0.220 0.960
Pr7 0.347 0.029 0.693
Pr8 0.790 0.699 0.579
Pt1 0.500 0.000 0.000

Entry 2:
Material: CaOs2Ru
Method: DFT, PBE
State: relaxed

Summary:
SG: No. 10
final energy: -7.790 eV per atom
theoretical density: 13.16 g cm⁻³
crystal system: monoclinic
total moment: 0.5 μB per formula unit

a b c (Å): 4.710 2.779 5.097
angles (deg): 80.68 90.00 90.00
Sites, in units of the cell vectors:
Ca1 0.500 0.750 0.750
Os1 0.000 0.069 0.024
Os2 0.000 0.431 0.476
Ru1 0.500 0.250 0.250

Entry 3:
Material: YIn6Hg12
Method: DFT, PBE
State: relaxed

Summary:
SG: No. 148
final energy: -1.444 eV per atom
theoretical density: 10.32 g cm⁻³
crystal system: trigonal
total moment: 0.0 μB per formula unit

a b c (Å): 9.001 9.001 9.001
angles (deg): 111.60 111.58 111.58
Sites, in units of the cell vectors:
Hg1 0.861 0.302 0.515
Hg2 0.071 0.673 0.982
In1 0.369 0.444 0.187
Hg3 0.302 0.515 0.861
Hg4 0.515 0.861 0.302
In2 0.813 0.631 0.556
In3 0.187 0.369 0.444
Hg5 0.018 0.929 0.327
Hg6 0.929 0.327 0.018
Hg7 0.139 0.698 0.485
Hg8 0.698 0.485 0.139
Hg9 0.982 0.071 0.673
Y1 0.000 0.000 0.000
In4 0.444 0.187 0.369
In5 0.556 0.813 0.631
Hg10 0.673 0.982 0.071
In6 0.631 0.556 0.813
Hg11 0.485 0.139 0.698
Hg12 0.327 0.018 0.929

Entry 4:
Material: In5Rh4Au
Method: DFT, PBE
State: relaxed

Summary:
SG: No. 123
final energy: -4.979 eV per atom
theoretical density: 11.13 g cm⁻³
crystal system: tetragonal
total moment: 0.0 μB per formula unit

a b c (Å): 3.161 3.161 17.648
angles (deg): 90.00 90.00 90.00
Sites, in units of the cell vectors:
In1 0.500 0.500 0.308
Au1 0.000 0.000 0.000
Rh1 0.000 0.000 0.211
In2 0.500 0.500 0.692
Rh2 0.000 0.000 0.596
In3 0.500 0.500 0.885
In4 0.500 0.500 0.115
Rh3 0.000 0.000 0.404
Rh4 0.000 0.000 0.789
In5 0.500 0.500 0.500

Entry 5:
Material: Pm4CSe2Br
Method: DFT, PBE
State: relaxed

Summary:
SG: No. 10
final energy: -5.894 eV per atom
theoretical density: 6.98 g cm⁻³
crystal system: monoclinic
formation energy from raw total energies: -1285 meV/atom
total moment: 0.0 μB per formula unit

a b c (Å): 4.006 7.358 7.051
angles (deg): 108.27 90.00 90.00
Sites, in units of the cell vectors:
C1 0.500 0.500 0.000
Pm1 0.000 0.295 0.787
Pm2 0.000 0.705 0.213
Pm3 0.500 0.290 0.233
Se1 0.500 0.000 0.500
Se2 0.000 0.500 0.500
Pm4 0.500 0.710 0.767
Br1 0.000 0.000 0.000

Entry 6:
Material: K3Tm3InTe8
Method: DFT, PBE
State: relaxed

Summary:
SG: No. 12
final energy: -4.060 eV per atom
theoretical density: 5.25 g cm⁻³
crystal system: monoclinic
formation energy from raw total energies: -1088 meV/atom
total moment: 0.0 μB per formula unit

a b c (Å): 8.677 8.699 9.886
angles (deg): 116.21 90.00 119.92
Sites, in units of the cell vectors:
Te1 0.764 0.031 0.296
K1 0.500 0.500 0.000
K2 0.000 0.500 0.000
Te2 0.236 0.969 0.704
In1 0.000 0.000 0.500
Tm1 0.500 0.500 0.500
Te3 0.733 0.969 0.704
Te4 0.736 0.471 0.707
Te5 0.236 0.472 0.705
Te6 0.264 0.529 0.293
K3 0.000 0.000 0.000
Te7 0.764 0.528 0.295
Te8 0.267 0.031 0.296
Tm2 0.500 0.000 0.500
Tm3 0.000 0.500 0.500